No. 1
Here is a relaxed structure of AcPd6Pb from Alexandria via LeMat-Bulk. Energies are from PBE.

Properties
electronic total energy = -5.079 eV/atom
formation energy = -207 meV/atom
density = 9.25 g/cm³
SG = No. 166
energy above the most stable polymorph in this dataset = 284 meV per atom

Lattice parameters (Å, degrees): 7.828 7.828 7.828 41.78 41.78 41.78
Element x y z (fractional)
Ac  0.000  0.000  0.000
Pd  0.058  0.569  0.569
Pd  0.431  0.431  0.942
Pd  0.431  0.942  0.431
Pd  0.569  0.058  0.569
Pd  0.569  0.569  0.058
Pd  0.942  0.431  0.431
Pb  0.500  0.500  0.500

***

No. 2
Here is a relaxed structure of Ac4Pd2Pb5 from Alexandria via LeMat-Bulk. Energies are from PBE.

Properties
electronic total energy = -4.695 eV/atom
formation energy = -571 meV/atom
density = 10.16 g/cm³
SG = No. 10

Lattice parameters (Å, degrees): 8.347 4.265 9.915 90.00 92.29 90.00
Element x y z (fractional)
Ac  0.208  0.000  0.349
Ac  0.222  0.000  0.912
Ac  0.778  0.000  0.088
Ac  0.792  0.000  0.651
Pd  0.082  0.500  0.128
Pd  0.918  0.500  0.872
Pb  0.132  0.500  0.629
Pb  0.448  0.500  0.158
Pb  0.500  0.500  0.500
Pb  0.552  0.500  0.842
Pb  0.868  0.500  0.371

***

No. 3
Here is a relaxed structure of AcPdPb from Alexandria via LeMat-Bulk. Energies are from PBE.

Properties
electronic total energy = -5.032 eV/atom
formation energy = -696 meV/atom
density = 10.77 g/cm³
SG = No. 51
energy above the most stable polymorph in this dataset = 0 meV per atom

Lattice parameters (Å, degrees): 14.353 4.315 8.073 90.00 90.00 90.00
Element x y z (fractional)
Ac  0.045  0.000  0.240
Ac  0.250  0.000  0.865
Ac  0.455  0.000  0.240
Ac  0.545  0.000  0.760
Ac  0.750  0.000  0.135
Ac  0.955  0.000  0.760
Pd  0.094  0.500  0.944
Pd  0.250  0.000  0.447
Pd  0.406  0.500  0.944
Pd  0.594  0.500  0.056
Pd  0.750  0.000  0.553
Pd  0.906  0.500  0.056
Pb  0.131  0.500  0.573
Pb  0.250  0.500  0.206
Pb  0.369  0.500  0.573
Pb  0.631  0.500  0.427
Pb  0.750  0.500  0.794
Pb  0.869  0.500  0.427

***

No. 4
Here is a relaxed structure of Ac5Pd2Pb5 from Alexandria via LeMat-Bulk. Energies are from PBE.

Properties
electronic total energy = -4.735 eV/atom
formation energy = -613 meV/atom
density = 9.96 g/cm³
SG = No. 12

Lattice parameters (Å, degrees): 9.161 9.161 12.523 129.84 129.84 30.38
Element x y z (fractional)
Ac  0.000  0.000  0.000
Ac  0.120  0.120  0.418
Ac  0.193  0.193  0.818
Ac  0.807  0.807  0.182
Ac  0.880  0.880  0.582
Pd  0.360  0.360  0.747
Pd  0.640  0.640  0.253
Pb  0.251  0.251  0.305
Pb  0.440  0.440  0.158
Pb  0.500  0.500  0.500
Pb  0.560  0.560  0.842
Pb  0.749  0.749  0.695